[1]
Computed, not measured: an optimized crystal structure of TiMn5P6O24 at the PBE with a Hubbard U level of DFT.

DFT total energy	-7.54	eV per atom

```
data_TiMn5P6O24
_chemical_formula_sum 'Ti1 Mn5 P6 O24'
_space_group_name_H-M_alt 'P 1'
_space_group_IT_number 1
_cell_length_a 8.639
_cell_length_b 8.639
_cell_length_c 8.639
_cell_angle_alpha 59.88
_cell_angle_beta 59.88
_cell_angle_gamma 59.88
loop_
_space_group_symop_operation_xyz
'x,y,z'
loop_
_atom_site_label
_atom_site_fract_x
_atom_site_fract_y
_atom_site_fract_z
Ti1 0.000 0.000 0.000
Mn1 0.211 0.211 0.211
Mn2 0.354 0.354 0.354
Mn3 0.498 0.498 0.498
Mn4 0.710 0.710 0.710
Mn5 0.854 0.854 0.854
P1 0.105 0.399 0.814
P2 0.313 0.895 0.604
P3 0.399 0.814 0.105
P4 0.604 0.313 0.895
P5 0.814 0.105 0.399
P6 0.895 0.604 0.313
O1 0.039 0.237 0.864
O2 0.089 0.438 0.299
O3 0.117 0.922 0.768
O4 0.161 0.368 0.972
O5 0.237 0.864 0.039
O6 0.270 0.402 0.621
O7 0.299 0.089 0.438
O8 0.339 0.734 0.556
O9 0.368 0.972 0.161
O10 0.402 0.621 0.270
O11 0.438 0.299 0.089
O12 0.472 0.864 0.659
O13 0.556 0.339 0.734
O14 0.594 0.793 0.942
O15 0.621 0.270 0.402
O16 0.659 0.472 0.864
O17 0.734 0.556 0.339
O18 0.768 0.117 0.922
O19 0.793 0.942 0.594
O20 0.864 0.039 0.237
O21 0.864 0.659 0.472
O22 0.922 0.768 0.117
O23 0.942 0.594 0.793
O24 0.972 0.161 0.368
```

***

[2]
Computed, not measured: an optimized crystal structure of CaTaMoO6 at the PBE with a Hubbard U level of DFT.

DFT total energy	-8.09	eV per atom

```
data_CaTaMoO6
_chemical_formula_sum 'Ca2 Ta2 Mo2 O12'
_space_group_name_H-M_alt 'P 1'
_space_group_IT_number 1
_cell_length_a 4.882
_cell_length_b 4.882
_cell_length_c 9.739
_cell_angle_alpha 90.00
_cell_angle_beta 90.00
_cell_angle_gamma 90.00
loop_
_space_group_symop_operation_xyz
'x,y,z'
loop_
_atom_site_label
_atom_site_fract_x
_atom_site_fract_y
_atom_site_fract_z
Ca1 0.000 0.000 0.000
Ca2 0.500 0.500 0.500
Ta1 0.000 0.000 0.340
Ta2 0.500 0.500 0.840
Mo1 0.000 0.000 0.668
Mo2 0.500 0.500 0.168
O1 0.176 0.176 0.502
O2 0.218 0.218 0.815
O3 0.222 0.222 0.194
O4 0.278 0.722 0.694
O5 0.282 0.718 0.315
O6 0.324 0.676 0.002
O7 0.676 0.324 0.002
O8 0.718 0.282 0.315
O9 0.722 0.278 0.694
O10 0.778 0.778 0.194
O11 0.782 0.782 0.815
O12 0.824 0.824 0.502
```

***

Calculated values (Å³ per cell) of volume for the records, taken in order: 454.7, 232.1.